(1)
First-principles (GGA-PBE) data for a geometry-optimized LiZnRe2 structure, as listed in Alexandria.

Cell: 9.3539 9.3539 9.3539 Å, 16.71 16.71 16.71°
With the nearest neighbours (Å) after each atom.
Atoms (fractional coordinates):
Li  0.0000  0.0000  0.0000  6 Li 2.72, 6 Re 2.84
Zn  0.5000  0.5000  0.5000  6 Zn 2.72, 6 Re 2.74
Re  0.2478  0.2478  0.2478  6 Re 2.72, 3 Zn 2.74, 3 Li 2.84
Re  0.7522  0.7522  0.7522  6 Re 2.72, 3 Zn 2.74, 3 Li 2.84

## Properties
Energy relative to the elements, eV/atom: 0.343
V, A^3/atom: 14.76

=====

(2)
First-principles (GGA-PBE) data for a geometry-optimized Er3Th13 structure, as listed in Alexandria.

Cell: 7.1069 8.5208 8.5208 Å, 87.57 90.00 90.00°
With the nearest neighbours (Å) after each atom.
Atoms (fractional coordinates):
Er  0.0000  0.0000  0.0000  10 Th 3.55-3.59, 2 Er 3.56
Er  0.2487  0.7489  0.7489  3 Er 3.53-3.57, 9 Th 3.55-3.61
Er  0.7513  0.7489  0.7489  3 Er 3.53-3.57, 9 Th 3.55-3.61
Th  0.0000  0.4142  0.9129  9 Th 3.54-3.62, 3 Er 3.58-3.59
Th  0.0000  0.4960  0.4960  10 Th 3.52-3.61, 2 Er 3.58
Th  0.0000  0.9129  0.4142  9 Th 3.54-3.62, 3 Er 3.58-3.59
Th  0.2498  0.1611  0.6648  10 Th 3.54-3.61, 2 Er 3.55-3.59
Th  0.2498  0.6648  0.1611  10 Th 3.54-3.61, 2 Er 3.55-3.59
Th  0.2522  0.2500  0.2500  11 Th 3.48-3.63, 1 Er 3.56
Th  0.5000  0.0033  0.0033  8 Th 3.51-3.60, 4 Er 3.55-3.60
Th  0.5000  0.4173  0.9097  10 Th 3.55-3.63, 2 Er 3.57
Th  0.5000  0.4936  0.4936  10 Th 3.48-3.60, 2 Er 3.61
Th  0.5000  0.9097  0.4173  10 Th 3.55-3.63, 2 Er 3.57
Th  0.7478  0.2500  0.2500  11 Th 3.48-3.63, 1 Er 3.56
Th  0.7502  0.1611  0.6648  10 Th 3.54-3.61, 2 Er 3.55-3.59
Th  0.7502  0.6648  0.1611  10 Th 3.54-3.61, 2 Er 3.55-3.59

## Properties
Energy relative to the elements, eV/atom: 0.052
V, A^3/atom: 32.22

=====

(3)
First-principles (GGA-PBE) data for a geometry-optimized IrPd structure, as listed in Alexandria.

Cell: 11.4758 11.4758 2.5945 Å, 90.00 90.00 120.00°
With the nearest neighbours (Å) after each atom.
Atoms (fractional coordinates):
Ir  0.1100  0.6614  0.2500  4 Pd 2.49-2.63, 2 Ir 2.59
Ir  0.3386  0.4486  0.2500  4 Pd 2.49-2.63, 2 Ir 2.59
Ir  0.4486  0.1100  0.7500  4 Pd 2.49-2.63, 2 Ir 2.59
Ir  0.5514  0.8900  0.2500  4 Pd 2.49-2.63, 2 Ir 2.59
Ir  0.6614  0.5514  0.7500  4 Pd 2.49-2.63, 2 Ir 2.59
Ir  0.8900  0.3386  0.7500  4 Pd 2.49-2.63, 2 Ir 2.59
Pd  0.1204  0.4467  0.2500  4 Ir 2.49-2.63, 2 Pd 2.59
Pd  0.3263  0.8796  0.2500  4 Ir 2.49-2.63, 2 Pd 2.59
Pd  0.4467  0.3263  0.7500  4 Ir 2.49-2.63, 2 Pd 2.59
Pd  0.5533  0.6737  0.2500  4 Ir 2.49-2.63, 2 Pd 2.59
Pd  0.6737  0.1204  0.7500  4 Ir 2.49-2.63, 2 Pd 2.59
Pd  0.8796  0.5533  0.7500  4 Ir 2.49-2.63, 2 Pd 2.59

## Properties
Energy relative to the elements, eV/atom: 1.035
V, A^3/atom: 24.66

=====

| no. | DOS at the Fermi energy (states/eV/cell) | total magnetization (μB per cell) | mass density (g/cm3) |
| --- | --- | --- | --- |
| 1 | 5.6 | 0.00 | 12.51 |
| 2 | 21.7 | 0.00 | 11.33 |
| 3 | 19.2 | 0.00 | 10.06 |